CoAgRu2S | Alexandria | PBE | relaxed; raw formation energy = 2195 meV per atom; space-group type = No. 123; E = -21.7 eV/cell
1.0
4.9041 0.0000 0.0000
0.0000 4.9041 0.0000
0.0000 0.0000 4.6173
Co Ag Ru S
1 1 2 1
direct
0.0000 0.0000 0.0000
0.0000 0.0000 0.5000
0.0000 0.5000 0.5000
0.5000 0.0000 0.5000
0.5000 0.5000 0.0000